Entry 1:
GGA-PBE Te2H2Au, optimized geometry; distance to the lowest polymorph of the same formula = 0.1971 eV/atom; VASP energy = -29.46 eV for the cell shown
1.0
7.9619 0.0000 0.0000
0.0000 7.9619 0.0000
0.0000 0.0000 3.6248
Te H Au
4 4 2
direct
0.2331 0.2669 0.0000 Te
0.2669 0.7669 0.0000 Te
0.7331 0.2331 0.0000 Te
0.7669 0.7331 0.0000 Te
0.2053 0.7053 0.5000 H
0.2947 0.2053 0.5000 H
0.7053 0.7947 0.5000 H
0.7947 0.2947 0.5000 H
0.0000 0.0000 0.0000 Au
0.5000 0.5000 0.0000 Au



Entry 2:
GGA-PBE Pm8Tm4Pu, optimized geometry; calculated formation energy = 47 kJ per mole of atoms; VASP energy = -63.91 eV for the cell shown
1.0
5.5174 3.1855 4.4995
-5.5174 3.1855 4.4995
0.0000 -6.3710 4.4995
Pm Tm Pu
8 4 1
direct
0.2434 0.2434 0.7563 Pm
0.2434 0.7563 0.2434 Pm
0.2437 0.2437 0.2437 Pm
0.2437 0.7566 0.7566 Pm
0.7563 0.2434 0.2434 Pm
0.7563 0.7563 0.7563 Pm
0.7566 0.2437 0.7566 Pm
0.7566 0.7566 0.2437 Pm
0.0000 0.0000 0.0000 Tm
0.0000 0.5000 0.5000 Tm
0.5000 0.0000 0.5000 Tm
0.5000 0.5000 0.0000 Tm
0.5000 0.5000 0.5000 Pu



Entry 3:
GGA-PBE LaHoTh2, optimized geometry; calculated formation energy = 16 kJ per mole of atoms; distance to the lowest polymorph of the same formula = 0.1412 eV/atom; VASP energy = -23.67 eV for the cell shown
1.0
1.7538 1.0126 12.4687
-1.7538 1.0126 12.4687
0.0000 -2.0251 12.4687
La Ho Th
1 1 2
direct
0.0000 0.0000 0.0000 La
0.5000 0.5000 0.5000 Ho
0.0887 0.0887 0.0887 Th
0.9113 0.9113 0.9113 Th



Entry 4:
GGA-PBE HfSc14Al, optimized geometry; calculated formation energy = -1 kJ per mole of atoms; VASP energy = -102.46 eV for the cell shown
1.0
9.8670 0.0000 0.0000
0.0000 3.8305 5.0038
0.0000 -3.8305 5.0038
Hf Sc Al
1 14 1
direct
0.0000 0.0000 0.0000 Hf
0.0000 0.0580 0.4744 Sc
0.0000 0.4744 0.0580 Sc
0.2213 0.7692 0.7692 Sc
0.2393 0.2782 0.6969 Sc
0.2393 0.6969 0.2782 Sc
0.2713 0.2044 0.2044 Sc
0.5000 0.4277 0.4277 Sc
0.5000 0.5061 0.9086 Sc
0.5000 0.9086 0.5061 Sc
0.5000 0.9773 0.9773 Sc
0.7287 0.2044 0.2044 Sc
0.7607 0.2782 0.6969 Sc
0.7607 0.6969 0.2782 Sc
0.7787 0.7692 0.7692 Sc
0.0000 0.5451 0.5451 Al



Entry 5:
GGA-PBE PaHAu2, optimized geometry; VASP energy = -17.69 eV for the cell shown
1.0
1.4755 0.8519 9.0530
-1.4755 0.8519 9.0530
0.0000 -1.7038 9.0530
Pa H Au
1 1 2
direct
0.0000 0.0000 0.0000 Pa
0.5000 0.5000 0.5000 H
0.1138 0.1138 0.1138 Au
0.8862 0.8862 0.8862 Au



Entry 6:
GGA-PBE Pm4Ir2Au, optimized geometry; calculated formation energy = -64 kJ per mole of atoms; VASP energy = -89.34 eV for the cell shown
1.0
0.0000 6.3620 4.4384
6.3530 0.0000 4.4384
6.3530 6.3620 0.0000
Pm Ir Au
8 4 2
direct
0.0649 0.9351 0.1822 Pm
0.0678 0.4322 0.1851 Pm
0.1726 0.5369 0.7118 Pm
0.4322 0.0678 0.3149 Pm
0.5369 0.1726 0.5787 Pm
0.5382 0.6713 0.0774 Pm
0.6713 0.5382 0.7131 Pm
0.9351 0.0649 0.8178 Pm
0.1726 0.4314 0.4484 Ir
0.3024 0.8016 0.8186 Ir
0.4314 0.1726 0.9476 Ir
0.8016 0.3024 0.0774 Ir
0.6767 0.6767 0.3233 Au
0.9267 0.9267 0.5733 Au



Entry 7:
GGA-PBE Ta2AgW, optimized geometry; calculated formation energy = 25 kJ per mole of atoms; distance to the lowest polymorph of the same formula = 0.1511 eV/atom; VASP energy = -38.48 eV for the cell shown
1.0
2.7668 0.0000 0.0000
0.0000 4.4824 0.0000
-1.3437 0.0000 5.6691
Ta Ag W
2 1 1
direct
0.2086 0.0000 0.2651 Ta
0.7914 0.0000 0.7349 Ta
0.5000 0.5000 0.0000 Ag
0.0000 0.5000 0.5000 W



Entry 8:
GGA-PBE CsVZn2Cr, optimized geometry; calculated formation energy = 194 kJ per mole of atoms; VASP energy = -12.07 eV for the cell shown
1.0
6.1150 0.0000 0.0000
0.0000 6.1150 0.0000
0.0000 0.0000 5.7282
Cs V Zn Cr
1 1 2 1
direct
0.0000 0.0000 0.0000 Cs
0.0000 0.0000 0.5000 V
0.0000 0.5000 0.0000 Zn
0.5000 0.0000 0.0000 Zn
0.5000 0.5000 0.5000 Cr